Entry 1:
## NpGa3Tc2 (GGA-PBE)

Data for a geometry-optimized NpGa3Tc2 structure.

Lattice parameters (Å, degrees): 6.1598 8.7433 8.3037 90.00 90.00 90.00
With the nearest neighbours (Å) after each atom.
Space group Cccm (No. 66)
Asymmetric unit:
Np 0.0000 0.0000 0.2500 x4  4 Tc 2.69
Ga 0.0000 0.5000 0.2500 x4  4 Tc 2.69, 4 Ga 2.87
Ga 0.0477 0.2754 0.0000 x8  1 Ga 2.53, 4 Tc 2.58-2.67
Tc 0.2500 0.2500 0.2826 x8  6 Ga 2.58-2.69, 2 Np 2.69

Properties
ΔH_f (0 K), eV/atom: -0.0503
N(E_F), states/eV/atom: 1.553
Spin magnetization, μB per cell: 11.0
V, A^3/atom: 18.63

=====

Entry 2:
## TlAg6Te4 (GGA-PBE)

Data for a geometry-optimized TlAg6Te4 structure.

Lattice parameters (Å, degrees): 4.4015 4.4015 30.6272 90.00 90.00 90.00
With the nearest neighbours (Å) after each atom.
Space group I4/mmm (No. 139)
Asymmetric unit:
Tl 0.0000 0.0000 0.0000 x2  8 Te 3.68
Ag 0.0000 0.5000 0.1223 x8  4 Te 2.83-2.98, 4 Ag 3.11
Ag 0.0000 0.5000 0.2500 x4  4 Te 2.91, 4 Ag 3.11
Te 0.0000 0.0000 0.1880 x4  8 Ag 2.91-2.98
Te 0.0000 0.0000 0.4358 x4  4 Ag 2.83

Properties
ΔE_f (raw), eV per atom: -0.085
Energy above the lowest structure with this stoichiometry, eV per atom: 0.000
N(E_F), states/eV/atom: 0.363
Spin magnetization, μB per cell: 0.0
V, A^3/atom: 26.97

=====

Entry 3:
## AsRuCl (GGA-PBE)

Data for a geometry-optimized AsRuCl structure.

Lattice parameters (Å, degrees): 4.2758 4.2929 12.2234 90.00 90.00 90.00
With the nearest neighbours (Å) after each atom.
Space group Fmm2 (No. 42)
Asymmetric unit:
As 0.0000 0.0000 0.0000 x4  4 Ru 2.55-2.56
Ru 0.0000 0.0000 0.3856 x4  4 As 2.55-2.56, 4 Cl 2.76
Cl 0.0000 0.0000 0.7432 x4  4 Ru 2.76, 4 Cl 3.03

Properties
ΔE_f (raw), eV per atom: 0.065
Energy above the lowest structure with this stoichiometry, eV per atom: 0.204
N(E_F), states/eV/atom: 0.999
Spin magnetization, μB per cell: 0.0
V, A^3/atom: 18.70

=====

Copy entry 3 word for word.
## AsRuCl (GGA-PBE)

Data for a geometry-optimized AsRuCl structure.

Lattice parameters (Å, degrees): 4.2758 4.2929 12.2234 90.00 90.00 90.00
With the nearest neighbours (Å) after each atom.
Space group Fmm2 (No. 42)
Asymmetric unit:
As 0.0000 0.0000 0.0000 x4  4 Ru 2.55-2.56
Ru 0.0000 0.0000 0.3856 x4  4 As 2.55-2.56, 4 Cl 2.76
Cl 0.0000 0.0000 0.7432 x4  4 Ru 2.76, 4 Cl 3.03

Properties
ΔE_f (raw), eV per atom: 0.065
Energy above the lowest structure with this stoichiometry, eV per atom: 0.204
N(E_F), states/eV/atom: 0.999
Spin magnetization, μB per cell: 0.0
V, A^3/atom: 18.70